[1]
Mg5TlIn2Au2 | GGA-PBE | relaxed

It has space group P4/mbm (No. 127), with a = 10.3329 Å, b = 10.3329 Å, c = 4.2109 Å, α = 90.00°, β = 90.00° and γ = 90.00°. Symmetry generates all atoms from Mg at (0.0000, 0.5000, 0.0000), Mg at (0.0778, 0.2063, 0.0000), Tl at (0.0000, 0.0000, 0.5000), In at (0.1692, 0.6692, 0.5000) and Au at (0.1274, 0.3726, 0.5000).

Its crystal system is tetragonal. The value obtained for the calculated total energy is -49.672 eV per cell. The value obtained for the formation energy is -0.2465 eV/atom.

---

[2]
TiNi5Pt6 | GGA-PBE | relaxed

It has space group C2/m (No. 12), with a = 13.1528 Å, b = 5.4847 Å, c = 4.5748 Å, α = 90.00°, β = 92.98° and γ = 90.00°. Symmetry generates all atoms from Ti at (0.0000, 0.0000, 0.0000), Ni at (0.0000, 0.5000, 0.0000), Ni at (0.1638, 0.0000, 0.6658), Ni at (0.1658, 0.5000, 0.6704), Pt at (0.0000, 0.2532, 0.5000) and Pt at (0.1673, 0.2509, 0.1685).

Its crystal system is monoclinic. The value obtained for the calculated total energy is -153.905 eV per cell. The value obtained for the formation energy is -0.3255 eV/atom. As for the distance to the lowest polymorph of the same formula: 0.018 eV/atom.

---

[3]
NbInP2Os | GGA-PBE | relaxed

It has space group P4/mmm (No. 123), with a = 4.7471 Å, b = 4.7471 Å, c = 4.8974 Å, α = 90.00°, β = 90.00° and γ = 90.00°. Symmetry generates all atoms from Nb at (0.0000, 0.0000, 0.0000), In at (0.5000, 0.5000, 0.5000), P at (0.0000, 0.5000, 0.5000) and Os at (0.5000, 0.5000, 0.0000).

Its crystal system is tetragonal. The value obtained for the calculated total energy is -24.641 eV per cell. The value obtained for the formation energy is 2.0433 eV/atom.

---

[4]
K3TaN | GGA-PBE | relaxed

It has space group Pm-3m (No. 221), with a = 6.7634 Å, b = 6.7634 Å, c = 6.7634 Å, α = 90.00°, β = 90.00° and γ = 90.00°. Symmetry generates all atoms from K at (0.0000, 0.0000, 0.5000), Ta at (0.0000, 0.0000, 0.0000) and N at (0.5000, 0.5000, 0.5000).

Its crystal system is cubic. The value obtained for the calculated total energy is -12.742 eV per cell. The uncorrected formation energy comes out at 2.1457 eV per atom.

---

[5]
YMg10Ag2 | GGA-PBE | relaxed

It has space group Fmmm (No. 69), with a = 5.7270 Å, b = 14.2170 Å, c = 14.2901 Å, α = 90.00°, β = 90.00° and γ = 90.00°. Symmetry generates all atoms from Y at (0.0000, 0.0000, 0.0000), Mg at (0.0000, 0.1091, 0.3977), Mg at (0.0000, 0.1791, 0.1669), Mg at (0.2500, 0.0000, 0.2500) and Ag at (0.2500, 0.2500, 0.0000).

Its crystal system is orthorhombic. The value obtained for the calculated total energy is -117.581 eV per cell. The value obtained for the formation energy is -0.0987 eV/atom.

---

[6]
RbBa2Ni | GGA-PBE | relaxed

It has space group R-3m (No. 166, hexagonal axes), with a = 4.5381 Å, b = 4.5381 Å, c = 37.1452 Å, α = 90.00°, β = 90.00° and γ = 120.00°. Symmetry generates all atoms from Rb at (0.0000, 0.0000, 0.0000), Ba at (0.0000, 0.0000, 0.1216) and Ni at (0.0000, 0.0000, 0.5000).

Its crystal system is trigonal. The value obtained for the calculated total energy is -30.848 eV per cell. The value obtained for the formation energy is 0.0779 eV/atom. As for the distance to the lowest polymorph of the same formula: 0.000 eV/atom.

---

[7]
RbPuIn2F8 | GGA-PBE | relaxed

It has space group P2/m (No. 10), with a = 4.1349 Å, b = 8.2826 Å, c = 6.0692 Å, α = 90.00°, β = 90.19° and γ = 90.00°. Symmetry generates all atoms from Rb at (0.0000, 0.0000, 0.0000), Pu at (0.0000, 0.5000, 0.0000), In at (0.5000, 0.2343, 0.5000), F at (0.0012, 0.2912, 0.2491), F at (0.4982, 0.0000, 0.7064) and F at (0.4992, 0.5000, 0.7935).

Its crystal system is monoclinic. The value obtained for the calculated total energy is -67.951 eV per cell. The uncorrected formation energy comes out at -2.6837 eV per atom.

---

[8]
Sr2CaN2 | GGA-PBE | relaxed

It has space group P-3m1 (No. 164), with a = 3.7948 Å, b = 3.7948 Å, c = 9.6425 Å, α = 90.00°, β = 90.00° and γ = 120.00°. Symmetry generates all atoms from Sr at (0.3333, 0.6667, 0.2796), Ca at (0.0000, 0.0000, 0.0000) and N at (0.3333, 0.6667, 0.8392).

Its crystal system is trigonal. The value obtained for the calculated total energy is -24.604 eV per cell. The uncorrected formation energy comes out at -0.5176 eV per atom. As for the distance to the lowest polymorph of the same formula: 0.000 eV/atom.

---

[9]
Sc2Tl3ZnS6 | GGA-PBE | relaxed

It has space group C2/m (No. 12), with a = 6.6275 Å, b = 11.4873 Å, c = 7.5121 Å, α = 90.00°, β = 107.19° and γ = 90.00°. Symmetry generates all atoms from Sc at (0.0000, 0.1669, 0.0000), Tl at (0.0000, 0.0000, 0.5000), Tl at (0.0000, 0.3321, 0.5000), Zn at (0.0000, 0.5000, 0.0000), S at (0.2300, 0.3339, 0.1914) and S at (0.2328, 0.0000, 0.1919).

Its crystal system is monoclinic. The value obtained for the calculated total energy is -115.175 eV per cell. The uncorrected formation energy comes out at -0.9822 eV per atom.

---

[10]
GdZnPtRh | GGA-PBE | relaxed

It has space group F-43m (No. 216), with a = 6.5769 Å, b = 6.5769 Å, c = 6.5769 Å, α = 90.00°, β = 90.00° and γ = 90.00°. Symmetry generates all atoms from Gd at (0.0000, 0.0000, 0.0000), Zn at (0.0000, 0.0000, 0.5000), Pt at (0.2500, 0.2500, 0.2500) and Rh at (0.2500, 0.2500, 0.7500).

Its crystal system is cubic. The value obtained for the calculated total energy is -126.169 eV per cell. The value obtained for the formation energy is -0.6988 eV/atom.

---

[11]
CaY2PbO | GGA-PBE | relaxed

It has space group P4/mmm (No. 123), with a = 4.8172 Å, b = 4.8172 Å, c = 4.8706 Å, α = 90.00°, β = 90.00° and γ = 90.00°. Symmetry generates all atoms from Ca at (0.0000, 0.0000, 0.0000), Y at (0.0000, 0.5000, 0.5000), Pb at (0.5000, 0.5000, 0.0000) and O at (0.0000, 0.0000, 0.5000).

Its crystal system is tetragonal. The value obtained for the calculated total energy is -30.446 eV per cell. The uncorrected formation energy comes out at -1.3700 eV per atom.

---

[12]
Tl2Sn5Pb3 | GGA-PBE | relaxed

It has space group Ibam (No. 72), with a = 13.4815 Å, b = 14.8220 Å, c = 6.6467 Å, α = 90.00°, β = 90.00° and γ = 90.00°. Symmetry generates all atoms from Tl at (0.1209, 0.2289, 0.0000), Sn at (0.0000, 0.5000, 0.2500), Sn at (0.1412, 0.1365, 0.5000), Sn at (0.2400, 0.5000, 0.2500), Pb at (0.0000, 0.0000, 0.2500) and Pb at (0.1188, 0.3486, 0.5000).

Its crystal system is orthorhombic. The value obtained for the calculated total energy is -140.050 eV per cell. The value obtained for the formation energy is 0.0859 eV/atom.